Entry 1:
Density functional theory data (PBE-GGA) for a relaxed structure of Mn4FeSb.

Cell and atoms, written as extended XYZ:
```
6
Lattice="4.565 -1.450 0.314 1.653 -1.851 4.109 1.017 -4.682 0.285" Properties=species:S:1:pos:R:3 pbc="T T T"
Mn 4.999 -3.718 1.922
Mn 3.220 -5.338 1.907
Mn 3.539 -3.919 3.824
Mn 2.711 -2.991 1.764
Fe 0.000 0.000 0.000
Sb 5.426 -5.988 3.532
```

Output
DFT total energy = -7.9119 eV per atom

Entry 2:
Density functional theory data (PBE-GGA) for a relaxed structure of CsAs3Au.

Cell and atoms, written as extended XYZ:
```
5
Lattice="5.703 0.000 0.000 0.000 5.703 0.000 0.000 0.000 5.703" Properties=species:S:1:pos:R:3 pbc="T T T"
Cs 0.000 0.000 0.000
As 0.000 2.851 0.000
As 0.000 0.000 2.851
As 2.851 0.000 0.000
Au 2.851 2.851 2.851
```

Output
DFT total energy = -1.6226 eV per atom
Energy of formation from the pure elements = 1993 meV per atom

Entry 3:
Density functional theory data (PBE-GGA) for a relaxed structure of YTl2BiF.

Cell and atoms, written as extended XYZ:
```
5
Lattice="6.283 0.000 0.000 0.000 5.734 0.000 0.000 0.000 6.283" Properties=species:S:1:pos:R:3 pbc="T T T"
Y 0.000 0.000 0.000
Tl 0.000 0.000 3.141
Tl 3.141 0.000 0.000
Bi 0.000 2.867 0.000
F 3.141 2.867 3.141
```

Output
DFT total energy = -3.3542 eV per atom

Entry 4:
Density functional theory data (PBE-GGA) for a relaxed structure of Zn6NiPd.

Cell and atoms, written as extended XYZ:
```
8
Lattice="4.634 0.269 -0.227 2.702 5.889 0.911 1.810 3.434 4.754" Properties=species:S:1:pos:R:3 pbc="T T T"
Zn 6.878 6.027 3.311
Zn 6.851 8.366 4.839
Zn 4.600 2.590 1.280
Zn 2.295 1.226 0.599
Zn 2.268 3.565 2.127
Zn 4.546 7.002 4.158
Ni 4.573 4.796 2.719
Pd 0.000 0.000 0.000
```

Output
DFT total energy = -2.5219 eV per atom
Energy of formation from the pure elements = -195 meV per atom

Entry 5:
Density functional theory data (PBE-GGA) for a relaxed structure of SrAl2TcBi.

Cell and atoms, written as extended XYZ:
```
5
Lattice="-2.163 4.312 2.864 -1.380 -3.162 3.718 4.946 0.806 2.522" Properties=species:S:1:pos:R:3 pbc="T T T"
Sr 0.000 0.000 0.000
Al 2.473 0.403 1.261
Al -1.081 2.156 1.432
Bi 0.702 0.978 4.552
Tc -0.690 -1.581 1.859
```

Output
DFT total energy = -2.9576 eV per atom
Energy of formation from the pure elements = 1725 meV per atom

Entry 6:
Density functional theory data (PBE-GGA) for a relaxed structure of Co2IrSe.

Cell and atoms, written as extended XYZ:
```
4
Lattice="-6.906 1.812 3.551 -7.388 -0.876 2.870 -6.006 -0.251 5.240" Properties=species:S:1:pos:R:3 pbc="T T T"
Co -0.083 0.003 0.048
Co -10.068 0.339 5.783
Ir -5.075 0.171 2.915
Se -15.226 0.513 8.746
```

Output
DFT total energy = -6.3804 eV per atom

Entry 7:
Density functional theory data (PBE-GGA) for a relaxed structure of Ta2SnGe.

Cell and atoms, written as extended XYZ:
```
8
Lattice="-1.467 -1.893 3.241 3.573 0.362 1.829 -1.793 7.994 6.363" Properties=species:S:1:pos:R:3 pbc="T T T"
Ge 1.053 -0.766 2.535
Ge 1.416 3.795 5.363
Sn 0.000 0.000 0.000
Sn -1.104 2.668 6.069
Ta -0.912 0.869 3.831
Ta 1.595 1.980 3.153
Ta -0.540 5.423 6.681
Ta 0.482 4.654 9.200
```

Output
DFT total energy = -7.6658 eV per atom
Energy of formation from the pure elements = 416 meV per atom

Entry 8:
Density functional theory data (PBE-GGA) for a relaxed structure of Ce2ErSb.

Cell and atoms, written as extended XYZ:
```
8
Lattice="4.375 0.000 -0.010 0.000 4.325 0.000 -2.122 0.000 11.399" Properties=species:S:1:pos:R:3 pbc="T T T"
Ce 2.358 1.081 1.293
Ce -0.105 3.244 10.096
Ce -0.221 3.244 1.387
Ce 2.474 1.081 10.001
Er 2.220 3.244 4.434
Er 0.033 1.081 6.954
Sb 0.049 1.081 3.870
Sb 2.204 3.244 7.519
```

Output
DFT total energy = -5.6976 eV per atom

Entry 9:
Density functional theory data (PBE-GGA) for a relaxed structure of RbAsPbO5.

Cell and atoms, written as extended XYZ:
```
16
Lattice="-0.382 6.082 1.562 -5.536 -1.512 -2.577 0.223 -3.785 6.668" Properties=species:S:1:pos:R:3 pbc="T T T"
Rb -3.700 0.164 0.520
Rb -1.995 0.620 5.133
As -1.902 2.814 1.963
As -3.793 -2.029 3.690
Pb 0.111 -1.892 3.334
Pb 0.000 0.000 0.000
O -5.071 -1.855 -0.581
O -0.624 2.639 6.234
O -2.001 4.470 1.440
O -3.694 -3.686 4.213
O -0.796 2.641 3.296
O -4.899 -1.857 2.357
O -3.464 2.249 2.451
O -2.231 -1.465 3.202
O -1.389 1.832 0.633
O -4.306 -1.047 5.020
```

Output
DFT total energy = -5.4948 eV per atom

Entry 10:
Density functional theory data (PBE-GGA) for a relaxed structure of Sc2GaAgB.

Cell and atoms, written as extended XYZ:
```
5
Lattice="-4.399 1.803 2.119 -1.710 0.106 -3.640 -1.688 -4.881 0.650" Properties=species:S:1:pos:R:3 pbc="T T T"
Sc -0.844 -2.441 0.325
Sc -2.200 0.902 1.059
B -0.855 0.053 -1.820
Ga -3.898 -1.486 -0.436
Ag 0.000 0.000 0.000
```

Output
DFT total energy = -4.4427 eV per atom
Energy of formation from the pure elements = 601 meV per atom

Entry 11:
Density functional theory data (PBE-GGA) for a relaxed structure of BaCoAs2.

Cell and atoms, written as extended XYZ:
```
4
Lattice="-2.619 0.353 -2.207 -1.116 -3.156 0.819 -4.163 2.873 5.400" Properties=species:S:1:pos:R:3 pbc="T T T"
As -3.904 2.694 5.064
As -2.660 -0.854 0.335
Ba -2.063 1.424 2.676
Co -5.515 1.116 4.038
```

Output
DFT total energy = -4.6031 eV per atom
Energy of formation from the pure elements = -21 meV per atom

Entry 12:
Density functional theory data (PBE-GGA) for a relaxed structure of La2TiTlO.

Cell and atoms, written as extended XYZ:
```
5
Lattice="5.369 0.000 0.000 0.000 5.369 0.000 0.000 0.000 4.067" Properties=species:S:1:pos:R:3 pbc="T T T"
Tl 2.684 2.684 2.033
Ti 0.000 0.000 2.033
O 0.000 0.000 0.000
La 0.000 2.684 0.000
La 2.684 0.000 0.000
```

Output
DFT total energy = -6.2234 eV per atom

Entry 13:
Density functional theory data (PBE-GGA) for a relaxed structure of Th4Bi2B.

Cell and atoms, written as extended XYZ:
```
7
Lattice="5.036 0.000 0.000 0.000 5.036 0.000 -2.518 -2.518 8.473" Properties=species:S:1:pos:R:3 pbc="T T T"
B 0.000 0.000 0.000
Bi 2.518 2.518 2.413
Bi 0.000 0.000 6.061
Th 2.518 2.518 5.784
Th 0.000 0.000 2.690
Th 0.000 2.518 0.000
Th 2.518 0.000 0.000
```

Output
DFT total energy = -6.5940 eV per atom
Energy of formation from the pure elements = -291 meV per atom

Entry 14:
Density functional theory data (PBE-GGA) for a relaxed structure of USeN.

Cell and atoms, written as extended XYZ:
```
6
Lattice="-1.117 -3.646 -0.107 3.463 -1.095 1.168 -2.124 0.452 6.720" Properties=species:S:1:pos:R:3 pbc="T T T"
U 1.901 -3.875 1.527
U -0.673 -1.206 5.431
Se 0.921 -3.666 4.630
Se 0.307 -1.414 2.328
N -1.593 -2.952 6.520
N 0.697 -1.677 7.158
```

Output
DFT total energy = -9.1136 eV per atom

Entry 15:
Density functional theory data (PBE-GGA) for a relaxed structure of DySc2Rh.

Cell and atoms, written as extended XYZ:
```
16
Lattice="-4.610 -0.604 3.819 3.623 -4.667 3.636 3.319 6.499 5.035" Properties=species:S:1:pos:R:3 pbc="T T T"
Dy -0.141 -1.229 5.583
Dy -3.083 0.956 4.702
Dy 2.473 2.457 6.907
Dy 5.416 0.272 7.789
Sc 1.897 -2.857 3.394
Sc 0.546 1.826 4.133
Sc -0.818 1.632 7.196
Sc 3.039 1.855 10.258
Sc 0.435 4.085 9.097
Sc 1.786 -0.598 8.357
Sc 3.150 -0.404 5.294
Sc -0.707 -0.627 2.232
Rh 1.874 -0.218 2.949
Rh 2.082 -2.762 6.096
Rh 0.458 1.446 9.541
Rh 0.250 3.990 6.395
```

Output
DFT total energy = -6.6823 eV per atom
Energy of formation from the pure elements = -528 meV per atom

Entry 16:
Density functional theory data (PBE-GGA) for a relaxed structure of AcNd2Y7.

Cell and atoms, written as extended XYZ:
```
10
Lattice="-5.312 -4.203 -0.801 -0.975 -4.791 -7.703 5.556 -0.073 8.522" Properties=species:S:1:pos:R:3 pbc="T T T"
Ac 0.000 0.000 0.000
Nd -2.046 -7.697 -3.091
Nd 1.315 -1.371 3.108
Y -0.013 -3.262 -2.560
Y -0.717 -5.806 2.578
Y 1.072 -3.695 0.691
Y -1.802 -5.372 -0.673
Y -3.287 -7.423 -6.392
Y 2.556 -1.645 6.409
Y -3.143 -4.497 -4.252
```

Output
DFT total energy = -5.8151 eV per atom
Energy of formation from the pure elements = 74 meV per atom

Entry 17:
Density functional theory data (PBE-GGA) for a relaxed structure of Ce5Th2.

Cell and atoms, written as extended XYZ:
```
7
Lattice="5.111 0.389 -1.334 -2.649 4.559 -0.500 0.446 -0.637 8.122" Properties=species:S:1:pos:R:3 pbc="T T T"
Ce 0.796 -0.090 5.447
Ce 2.112 4.400 0.840
Ce -0.191 2.828 2.749
Ce 3.099 1.483 3.538
Ce -1.325 2.280 -0.250
Th 1.652 1.072 0.488
Th 1.255 3.239 5.800
```

Output
DFT total energy = -6.2378 eV per atom
Energy of formation from the pure elements = 121 meV per atom

Entry 18:
Density functional theory data (PBE-GGA) for a relaxed structure of LaTlSb.

Cell and atoms, written as extended XYZ:
```
3
Lattice="5.392 0.000 0.000 2.696 4.670 0.000 2.696 1.557 4.403" Properties=species:S:1:pos:R:3 pbc="T T T"
La 5.392 3.113 2.201
Sb 8.089 4.670 3.302
Tl 0.000 0.000 0.000
```

Output
DFT total energy = -4.2154 eV per atom

Entry 19:
Density functional theory data (PBE-GGA) for a relaxed structure of HfScN2.

Cell and atoms, written as extended XYZ:
```
8
Lattice="3.184 0.000 0.000 -1.592 2.758 0.000 0.000 0.000 10.642" Properties=species:S:1:pos:R:3 pbc="T T T"
Hf 0.000 0.000 5.321
Hf 0.000 0.000 0.000
Sc 1.592 0.919 2.660
Sc 0.000 1.838 7.981
N 0.000 1.838 4.062
N 1.592 0.919 9.383
N 1.592 0.919 6.579
N 0.000 1.838 1.259
```

Output
DFT total energy = -10.0786 eV per atom

Entry 20:
Density functional theory data (PBE-GGA) for a relaxed structure of Th6As2OsSe3.

Cell and atoms, written as extended XYZ:
```
12
Lattice="-2.937 2.946 0.264 -5.510 -5.113 -4.225 0.017 -3.714 8.721" Properties=species:S:1:pos:R:3 pbc="T T T"
Th -6.027 -6.202 2.161
Th -5.154 -2.249 0.674
Th -2.402 0.321 2.598
Th -1.242 -1.153 -0.949
Th -7.187 -4.728 5.708
Th -3.276 -3.632 4.086
As -6.100 -3.423 3.236
As -2.329 -2.458 1.524
Os -1.468 1.473 0.132
Se -4.223 -1.083 -1.980
Se -3.339 -0.853 5.271
Se -5.090 -5.028 -0.512
```

Output
DFT total energy = -7.6104 eV per atom

Entry 21:
Density functional theory data (PBE-GGA) for a relaxed structure of Rb2LaMg3F12.

Cell and atoms, written as extended XYZ:
```
18
Lattice="7.145 -0.221 -0.157 3.336 6.322 -0.157 3.336 1.942 6.018" Properties=species:S:1:pos:R:3 pbc="T T T"
Rb 8.380 4.878 3.460
Rb 5.438 3.165 2.245
La 0.000 0.000 0.000
Mg 3.572 -0.110 -0.078
Mg 1.668 3.161 -0.078
Mg 1.668 0.971 3.009
F 5.851 3.406 5.338
F 10.480 6.100 2.117
F 8.666 7.131 5.058
F 8.249 2.044 1.450
F 10.480 4.014 5.058
F 5.851 6.164 1.450
F 7.966 4.637 0.367
F 3.337 1.942 3.588
F 5.151 0.912 0.647
F 5.568 5.999 4.255
F 3.337 4.028 0.647
F 7.966 1.879 4.255
```

Output
DFT total energy = -5.1849 eV per atom

Entry 22:
Density functional theory data (PBE-GGA) for a relaxed structure of NiBrN3.

Cell and atoms, written as extended XYZ:
```
5
Lattice="-1.458 2.596 2.426 1.716 -1.781 2.937 3.111 2.199 -0.484" Properties=species:S:1:pos:R:3 pbc="T T T"
Ni 1.684 1.507 2.440
Br 0.000 0.000 0.000
N 0.858 -0.891 1.469
N 1.555 1.100 -0.242
N -0.729 1.298 1.213
```

Output
DFT total energy = -3.5654 eV per atom

Entry 23:
Density functional theory data (PBE-GGA) for a relaxed structure of HgAuSe2.

Cell and atoms, written as extended XYZ:
```
4
Lattice="-0.508 -0.545 3.680 2.487 -3.026 -0.104 5.323 4.327 1.376" Properties=species:S:1:pos:R:3 pbc="T T T"
Au 2.407 1.891 2.528
Hg 3.905 0.650 0.636
Se 0.000 0.000 0.000
Se 0.989 -1.785 1.788
```

Output
DFT total energy = -2.4117 eV per atom

Entry 24:
Density functional theory data (PBE-GGA) for a relaxed structure of Pm3MgHg2.

Cell and atoms, written as extended XYZ:
```
6
Lattice="-3.612 1.303 -0.148 -1.226 -3.200 1.739 1.380 4.976 10.130" Properties=species:S:1:pos:R:3 pbc="T T T"
Pm 0.000 0.000 0.000
Pm 0.924 3.331 6.780
Pm 0.456 1.646 3.350
Mg -1.728 1.540 5.860
Hg -1.275 3.173 9.185
Hg -2.181 -0.093 2.536
```

Output
DFT total energy = -3.0924 eV per atom
Energy of formation from the pure elements = -351 meV per atom

Entry 25:
Density functional theory data (PBE-GGA) for a relaxed structure of CdTcHgOs.

Cell and atoms, written as extended XYZ:
```
4
Lattice="-0.790 2.729 0.646 -0.167 -0.716 2.820 8.084 2.100 1.011" Properties=species:S:1:pos:R:3 pbc="T T T"
Tc 0.768 0.200 0.096
Os 6.895 2.922 2.655
Hg 2.402 1.755 2.093
Cd 5.315 1.381 0.665
```

Output
DFT total energy = -5.4809 eV per atom
Energy of formation from the pure elements = 222 meV per atom